A relaxed structure of SiMoIO2, computed with GGA+U.

The structure belongs to space group P4/mmm (No. 123); the cell edges are 3.815, 3.815 and 5.834 Å and the angles 90.00°, 90.00° and 90.00°. The inequivalent atoms are Si at (0.000, 0.000, 0.000), Mo at (0.500, 0.500, 0.500), I at (0.000, 0.000, 0.500) and O at (0.000, 0.500, 0.000).

As for the energy: -25.05 eV/f.u. The energy above the lowest structure with this stoichiometry is 76 meV/atom.